Density functional theory data (GGA-PBE) for a relaxed structure of MnCr4Br.

Cell lengths 4.864, 4.864, 4.864 Å; angles 60.00, 60.00, 60.00 degrees
Element x y z (fractional)
Br1 0.000 0.000 0.000
Cr1 0.376 0.376 0.376
Mn1 0.750 0.750 0.750
Cr2 0.376 0.376 0.872
Cr3 0.376 0.872 0.376
Cr4 0.872 0.376 0.376

Computed properties:
Total DFT energy (no corrections) = -7.41 eV per atom
Formation energy from raw total energies = 0.812 eV per atom
Space group = F-43m, No. 216